DFT (meta-GGA SCAN) results for Ta2CrIn at its PBEsol-relaxed geometry.

Output
As for the space-group type: No. 47. The volume comes out at 16.8 Å³ per atom. For the density of states at the Fermi level, the calculation gives 2.995 states/eV/f.u. Its formation energy is 0.13 eV/atom.

Unit cell a=3.5892 b=4.2511 c=4.3912 alpha=90.00 beta=90.00 gamma=90.00
Fractional coordinates of all 4 atoms:
Ta1 0.0000 0.0000 0.0000
Ta2 0.5000 0.5000 0.0000
Cr1 0.0000 0.5000 0.5000
In1 0.5000 0.0000 0.5000

---

DFT (meta-GGA SCAN) results for BaLiBS3 at its PBEsol-relaxed geometry.

Output
As for the space-group type: No. 14. The volume comes out at 20.9 Å³ per atom. For the formation energy without anion corrections, the calculation gives -143.6 kJ per mole of atoms. For the density of states at the Fermi level, the calculation gives 0.000 states/eV/f.u.

Unit cell a=7.4929 b=8.6245 c=8.6166 alpha=90.00 beta=115.94 gamma=90.00
Fractional coordinates of all 24 atoms:
Ba1 0.1886 0.1317 0.3108
Ba2 0.1886 0.3683 0.8108
Ba3 0.8114 0.6317 0.1892
Ba4 0.8114 0.8683 0.6892
Li1 0.3863 0.5752 0.2951
Li2 0.3863 0.9248 0.7951
Li3 0.6137 0.0752 0.2049
Li4 0.6137 0.4248 0.7049
B1 0.2707 0.6585 0.5799
B2 0.2707 0.8415 0.0799
B3 0.7293 0.1585 0.9201
B4 0.7293 0.3415 0.4201
S1 0.1152 0.6702 0.0096
S2 0.1152 0.8298 0.5096
S3 0.2123 0.0186 0.9532
S4 0.2123 0.4814 0.4532
S5 0.4873 0.6551 0.7908
S6 0.4873 0.8449 0.2908
S7 0.5127 0.1551 0.7092
S8 0.5127 0.3449 0.2092
S9 0.7877 0.5186 0.5468
S10 0.7877 0.9814 0.0468
S11 0.8848 0.1702 0.4904
S12 0.8848 0.3298 0.9904

---

DFT (meta-GGA SCAN) results for YAgS2 at its PBEsol-relaxed geometry.

Output
As for the space-group type: No. 166. The volume comes out at 26.0 Å³ per atom. For the formation energy without anion corrections, the calculation gives -146.1 kJ per mole of atoms. For the density of states at the Fermi level, the calculation gives 0.000 states/eV/f.u.

Unit cell a=7.7804 b=7.7804 c=7.7804 alpha=29.93 beta=29.93 gamma=29.93
Fractional coordinates of all 4 atoms:
Y1 0.0000 0.0000 0.0000
Ag1 0.5000 0.5000 0.5000
S1 0.3964 0.3964 0.3964
S2 0.6036 0.6036 0.6036

---

DFT (meta-GGA SCAN) results for Zn2Ir at its PBEsol-relaxed geometry.

Output
As for the space-group type: No. 139. The volume comes out at 13.4 Å³ per atom. For the density of states at the Fermi level, the calculation gives 0.822 states/eV/f.u. Its formation energy is -0.21 eV/atom.

Unit cell a=4.8235 b=4.8235 c=4.8235 alpha=143.02 beta=143.02 gamma=53.29
Fractional coordinates of all 3 atoms:
Zn1 0.1661 0.1661 0.0000
Zn2 0.8339 0.8339 0.0000
Ir1 0.5000 0.5000 0.0000

---

DFT (meta-GGA SCAN) results for CaYW at its PBEsol-relaxed geometry.

Output
As for the space-group type: No. 44. The volume comes out at 23.5 Å³ per atom. For the density of states at the Fermi level, the calculation gives 2.217 states/eV/f.u. Its formation energy is 0.85 eV/atom.

Unit cell a=5.7904 b=5.7904 c=5.7904 alpha=150.01 beta=132.94 gamma=56.82
Fractional coordinates of all 3 atoms:
Ca1 0.0000 0.0000 0.0000
Y1 0.6967 0.6967 0.0000
W1 0.3267 0.3267 0.0000

---

DFT (meta-GGA SCAN) results for InPt5 at its PBEsol-relaxed geometry.

Output
As for the space-group type: No. 189. The volume comes out at 15.7 Å³ per atom. For the density of states at the Fermi level, the calculation gives 7.225 states/eV/f.u. Its formation energy is -0.16 eV/atom.

Unit cell a=4.8513 b=4.8513 c=4.6099 alpha=90.00 beta=90.00 gamma=120.00
Fractional coordinates of all 6 atoms:
In1 0.0000 0.0000 0.0000
Pt1 0.0000 0.6548 0.5000
Pt2 0.3333 0.6667 0.0000
Pt3 0.3452 0.3452 0.5000
Pt4 0.6548 0.0000 0.5000
Pt5 0.6667 0.3333 0.0000

---

DFT (meta-GGA SCAN) results for Zn4ReTe at its PBEsol-relaxed geometry.

Output
As for the space-group type: No. 216. The volume comes out at 15.0 Å³ per atom. For the formation energy without anion corrections, the calculation gives 36.1 kJ per mole of atoms. For the density of states at the Fermi level, the calculation gives 1.244 states/eV/f.u.

Unit cell a=5.0262 b=5.0262 c=5.0262 alpha=60.00 beta=60.00 gamma=60.00
Fractional coordinates of all 6 atoms:
Zn1 0.3766 0.3766 0.3766
Zn2 0.3766 0.3766 0.8701
Zn3 0.3766 0.8701 0.3766
Zn4 0.8701 0.3766 0.3766
Re1 0.7500 0.7500 0.7500
Te1 0.0000 0.0000 0.0000

---

DFT (meta-GGA SCAN) results for BeCr2Mo at its PBEsol-relaxed geometry.

Output
As for the space-group type: No. 65. The volume comes out at 12.0 Å³ per atom. For the density of states at the Fermi level, the calculation gives 2.619 states/eV/f.u. Its formation energy is 0.35 eV/atom.

Unit cell a=4.7070 b=4.7070 c=2.4342 alpha=90.00 beta=90.00 gamma=117.43
Fractional coordinates of all 4 atoms:
Be1 0.0000 0.0000 0.0000
Cr1 0.0000 0.5000 0.5000
Cr2 0.5000 0.0000 0.5000
Mo1 0.5000 0.5000 0.0000

---

DFT (meta-GGA SCAN) results for MnSbP2 at its PBEsol-relaxed geometry.

Output
As for the space-group type: No. 166. The volume comes out at 15.9 Å³ per atom. For the formation energy without anion corrections, the calculation gives 9.6 kJ per mole of atoms. For the density of states at the Fermi level, the calculation gives 1.961 states/eV/f.u.

Unit cell a=8.3519 b=8.3519 c=8.3519 alpha=20.69 beta=20.69 gamma=20.69
Fractional coordinates of all 4 atoms:
Mn1 0.0000 0.0000 0.0000
Sb1 0.5000 0.5000 0.5000
P1 0.2718 0.2718 0.2718
P2 0.7282 0.7282 0.7282

---

DFT (meta-GGA SCAN) results for Li3GeH at its PBEsol-relaxed geometry.

Output
As for the space-group type: No. 221. The volume comes out at 24.3 Å³ per atom. For the density of states at the Fermi level, the calculation gives 2.199 states/eV/f.u.

Unit cell a=4.9515 b=4.9515 c=4.9515 alpha=90.00 beta=90.00 gamma=90.00
Fractional coordinates of all 5 atoms:
Li1 0.0000 0.0000 0.5000
Li2 0.0000 0.5000 0.0000
Li3 0.5000 0.0000 0.0000
Ge1 0.0000 0.0000 0.0000
H1 0.5000 0.5000 0.5000

---

DFT (meta-GGA SCAN) results for CrH at its PBEsol-relaxed geometry.

Output
As for the space-group type: No. 194. The volume comes out at 6.9 Å³ per atom. For the density of states at the Fermi level, the calculation gives 1.620 states/eV/f.u.

Unit cell a=2.6442 b=2.6442 c=4.5571 alpha=90.00 beta=90.00 gamma=120.00
Fractional coordinates of all 4 atoms:
Cr1 0.0000 0.0000 0.0000
Cr2 0.0000 0.0000 0.5000
H1 0.3333 0.6667 0.2500
H2 0.6667 0.3333 0.7500

---

DFT (meta-GGA SCAN) results for CsBe3Tc at its PBEsol-relaxed geometry.

Output
As for the space-group type: No. 221. The volume comes out at 20.3 Å³ per atom. For the density of states at the Fermi level, the calculation gives 3.215 states/eV/f.u. Its formation energy is 3.07 eV/atom.

Unit cell a=4.6642 b=4.6642 c=4.6642 alpha=90.00 beta=90.00 gamma=90.00
Fractional coordinates of all 5 atoms:
Cs1 0.0000 0.0000 0.0000
Be1 0.0000 0.0000 0.5000
Be2 0.0000 0.5000 0.0000
Be3 0.5000 0.0000 0.0000
Tc1 0.5000 0.5000 0.5000

---

DFT (meta-GGA SCAN) results for LiCdRh2 at its PBEsol-relaxed geometry.

Output
As for the space-group type: No. 12. The volume comes out at 14.4 Å³ per atom. For the density of states at the Fermi level, the calculation gives 3.008 states/eV/f.u. Its formation energy is -0.13 eV/atom.

Unit cell a=4.6898 b=4.6898 c=4.7459 alpha=99.65 beta=99.65 gamma=34.14
Fractional coordinates of all 4 atoms:
Li1 0.0000 0.0000 0.0000
Cd1 0.5000 0.5000 0.5000
Rh1 0.2525 0.2525 0.7676
Rh2 0.7475 0.7475 0.2324

---

DFT (meta-GGA SCAN) results for Ni2AgC2 at its PBEsol-relaxed geometry.

Output
As for the space-group type: No. 139. The volume comes out at 9.4 Å³ per atom. For the density of states at the Fermi level, the calculation gives 3.334 states/eV/f.u. Its formation energy is 0.68 eV/atom.

Unit cell a=4.5217 b=4.5217 c=4.5217 alpha=134.08 beta=134.08 gamma=66.97
Fractional coordinates of all 5 atoms:
Ni1 0.2500 0.7500 0.5000
Ni2 0.7500 0.2500 0.5000
Ag1 0.0000 0.0000 0.0000
C1 0.4037 0.4037 0.0000
C2 0.5963 0.5963 0.0000

---

Number 1: final energy -184.416 eV per cell. Number 2: final energy -348.741 eV per cell. Number 3: final energy -84.525 eV per cell. Number 4: final energy -98.747 eV per cell. Number 5: final energy -104.646 eV per cell. Number 6: final energy -385.310 eV per cell. Number 7: final energy -160.165 eV per cell. Number 8: final energy -74.617 eV per cell. Number 9: final energy -75.914 eV per cell. Number 10: final energy -27.526 eV per cell. Number 11: final energy -41.872 eV per cell. Number 12: final energy -70.591 eV per cell. Number 13: final energy -100.849 eV per cell. Number 14: final energy -80.537 eV per cell.